LaAl3Pt2 | PBE | optimized geometry

Structure (CIF):
```
data_LaAl3Pt2
_chemical_formula_sum 'La6 Al18 Pt12'
_space_group_name_H-M_alt 'C 1 2/m 1'
_space_group_IT_number 12
_space_group_name_Hall '-C 2y'
_cell_length_a 16.6812
_cell_length_b 4.2535
_cell_length_c 10.2030
_cell_angle_alpha 90.00
_cell_angle_beta 107.98
_cell_angle_gamma 90.00
loop_
_atom_site_label
_atom_site_type_symbol
_atom_site_fract_x
_atom_site_fract_y
_atom_site_fract_z
La1 La 0.0000 0.0000 0.0000
La2 La 0.1576 0.0000 0.7072
Al1 Al 0.0000 0.5000 0.5000
Al2 Al 0.0435 0.0000 0.3591
Al3 Al 0.1316 0.5000 0.2038
Al4 Al 0.1745 0.5000 0.9666
Al5 Al 0.2143 0.0000 0.3926
Pt1 Pt 0.0240 0.5000 0.7777
Pt2 Pt 0.1396 0.5000 0.4499
Pt3 Pt 0.1964 0.0000 0.1281
```

=====

LaAlPt | PBE | optimized geometry

Structure (CIF):
```
data_LaAlPt
_chemical_formula_sum 'La2 Al2 Pt2'
_space_group_name_H-M_alt 'I m m 2'
_space_group_IT_number 44
_space_group_name_Hall 'I 2 -2'
_cell_length_a 3.3147
_cell_length_b 3.3300
_cell_length_c 11.6156
_cell_angle_alpha 90.00
_cell_angle_beta 90.00
_cell_angle_gamma 90.00
loop_
_atom_site_label
_atom_site_type_symbol
_atom_site_fract_x
_atom_site_fract_y
_atom_site_fract_z
La1 La 0.0000 0.0000 0.0000
Al1 Al 0.0000 0.0000 0.2893
Pt1 Pt 0.0000 0.0000 0.6910
```

=====

no.,VASP energy (eV/atom),calculated formation energy (meV/atom)
1,-5.7489,-1043
2,-5.6901,-787